Version w
First-principles (GGA-PBE) data for crystalline Ta3Be at its relaxed geometry, as listed in Alexandria via LeMat-Bulk.

Output
Volume: 66 Å³ per cell
D(E_F): 0.8742 states/eV per atom
Space-group type: No. 44

Cell lengths 5.100, 5.100, 5.100 Å; angles 139.55, 66.82, 129.24 degrees
Fractional coordinates of all 4 atoms:
Ta: 0.000 0.000 0.000
Ta: 0.263 0.499 0.764
Ta: 0.736 0.499 0.236
Be: 0.501 0.001 0.500


Version x
First-principles (GGA-PBE) data for crystalline Ta3Be at its relaxed geometry, as listed in Alexandria via LeMat-Bulk.

Output
Volume: 64 Å³ per cell
D(E_F): 1.1099 states/eV per atom
Space-group type: No. 65

Cell lengths 2.806, 2.806, 8.316 Å; angles 90.00, 90.00, 100.74 degrees
Fractional coordinates of all 4 atoms:
Ta: 0.000 0.000 0.000
Ta: 0.500 0.500 0.287
Ta: 0.500 0.500 0.713
Be: 0.000 0.000 0.500


Least stable of them? version w.


Version w
First-principles (GGA-PBE) data for crystalline Ta3Be at its relaxed geometry, as listed in Alexandria via LeMat-Bulk.

Output
Volume: 257 Å³ per cell
D(E_F): 0.8101 states/eV per atom
Space-group type: No. 62

Cell lengths 6.278, 7.836, 5.231 Å; angles 90.00, 90.00, 90.00 degrees
Fractional coordinates of all 16 atoms:
Ta: 0.031 0.250 0.128
Ta: 0.196 0.046 0.628
Ta: 0.196 0.454 0.628
Ta: 0.304 0.546 0.128
Ta: 0.304 0.954 0.128
Ta: 0.469 0.750 0.628
Ta: 0.531 0.250 0.372
Ta: 0.696 0.046 0.872
Ta: 0.696 0.454 0.872
Ta: 0.804 0.546 0.372
Ta: 0.804 0.954 0.372
Ta: 0.969 0.750 0.872
Be: 0.106 0.750 0.411
Be: 0.394 0.250 0.911
Be: 0.606 0.750 0.089
Be: 0.894 0.250 0.589


Version x
First-principles (GGA-PBE) data for crystalline Ta3Be at its relaxed geometry, as listed in Alexandria via LeMat-Bulk.

Output
Volume: 66 Å³ per cell
D(E_F): 1.0243 states/eV per atom
Space-group type: No. 10

Cell lengths 2.791, 4.551, 5.279 Å; angles 90.00, 98.66, 90.00 degrees
Fractional coordinates of all 4 atoms:
Ta: 0.000 0.000 0.000
Ta: 0.277 0.500 0.743
Ta: 0.723 0.500 0.257
Be: 0.500 0.000 0.500


Version y
First-principles (GGA-PBE) data for crystalline Ta3Be at its relaxed geometry, as listed in Alexandria via LeMat-Bulk.

Output
Volume: 66 Å³ per cell
D(E_F): 0.6667 states/eV per atom
Space-group type: No. 12

Cell lengths 4.909, 4.909, 4.918 Å; angles 102.65, 102.65, 34.87 degrees
Fractional coordinates of all 4 atoms:
Ta: 0.000 0.000 0.000
Ta: 0.230 0.230 0.728
Ta: 0.770 0.770 0.272
Be: 0.500 0.500 0.500


Least stable of them? version x.


Version w
First-principles (GGA-PBE) data for crystalline Ta3Be at its relaxed geometry, as listed in Alexandria via LeMat-Bulk.

Output
Volume: 132 Å³ per cell
D(E_F): 1.2538 states/eV per atom
Space-group type: No. 223

Cell lengths 5.086, 5.086, 5.086 Å; angles 90.00, 90.00, 90.00 degrees
Fractional coordinates of all 8 atoms:
Ta: 0.000 0.250 0.500
Ta: 0.000 0.750 0.500
Ta: 0.250 0.500 0.000
Ta: 0.500 0.000 0.250
Ta: 0.500 0.000 0.750
Ta: 0.750 0.500 0.000
Be: 0.000 0.000 0.000
Be: 0.500 0.500 0.500


Version x
First-principles (GGA-PBE) data for crystalline Ta3Be at its relaxed geometry, as listed in Alexandria via LeMat-Bulk.

Output
Volume: 66 Å³ per cell
D(E_F): 0.7946 states/eV per atom
Space-group type: No. 166

Cell lengths 8.729, 8.729, 8.729 Å; angles 19.75, 19.75, 19.75 degrees
Fractional coordinates of all 4 atoms:
Ta: 0.000 0.000 0.000
Ta: 0.239 0.239 0.239
Ta: 0.761 0.761 0.761
Be: 0.500 0.500 0.500


Least stable of them? version x.


Version w
First-principles (GGA-PBE) data for crystalline TaBe at its relaxed geometry, as listed in Alexandria via LeMat-Bulk.

Output
Volume: 82 Å³ per cell
D(E_F): 0.3969 states/eV per atom
Space-group type: No. 8

Cell lengths 5.148, 5.148, 5.817 Å; angles 106.27, 106.27, 33.81 degrees
Fractional coordinates of all 6 atoms:
Ta: 0.000 0.000 0.000
Ta: 0.005 0.005 0.488
Ta: 0.302 0.302 0.636
Be: 0.317 0.317 0.149
Be: 0.687 0.687 0.276
Be: 0.687 0.687 0.886


Version x
First-principles (GGA-PBE) data for crystalline TaBe at its relaxed geometry, as listed in Alexandria via LeMat-Bulk.

Output
Volume: 213 Å³ per cell
D(E_F): 0.8242 states/eV per atom
Space-group type: No. 19

Cell lengths 4.758, 4.862, 9.190 Å; angles 90.00, 90.00, 90.00 degrees
Fractional coordinates of all 16 atoms:
Ta: 0.122 0.093 0.020
Ta: 0.131 0.641 0.813
Ta: 0.369 0.359 0.313
Ta: 0.378 0.907 0.520
Ta: 0.622 0.407 0.980
Ta: 0.631 0.859 0.187
Ta: 0.869 0.141 0.687
Ta: 0.878 0.593 0.480
Be: 0.136 0.588 0.095
Be: 0.139 0.859 0.275
Be: 0.361 0.141 0.775
Be: 0.364 0.412 0.595
Be: 0.636 0.912 0.905
Be: 0.639 0.641 0.725
Be: 0.861 0.359 0.225
Be: 0.864 0.088 0.405


Least stable of them? version w.


Version w
First-principles (GGA-PBE) data for crystalline TaBe at its relaxed geometry, as listed in Alexandria via LeMat-Bulk.

Output
Volume: 28 Å³ per cell
D(E_F): 0.6445 states/eV per atom
Space-group type: No. 225

Cell lengths 3.399, 3.399, 3.399 Å; angles 60.00, 60.00, 60.00 degrees
Fractional coordinates of all 2 atoms:
Ta: 0.000 0.000 0.000
Be: 0.500 0.500 0.500


Version x
First-principles (GGA-PBE) data for crystalline TaBe at its relaxed geometry, as listed in Alexandria via LeMat-Bulk.

Output
Volume: 111 Å³ per cell
D(E_F): 0.7407 states/eV per atom
Space-group type: No. 87

Cell lengths 5.368, 5.368, 5.368 Å; angles 101.52, 101.52, 126.90 degrees
Fractional coordinates of all 8 atoms:
Ta: 0.060 0.300 0.360
Ta: 0.300 0.940 0.240
Ta: 0.700 0.060 0.760
Ta: 0.940 0.700 0.640
Be: 0.299 0.580 0.879
Be: 0.420 0.299 0.719
Be: 0.580 0.701 0.281
Be: 0.701 0.420 0.121


Version y
First-principles (GGA-PBE) data for crystalline TaBe at its relaxed geometry, as listed in Alexandria via LeMat-Bulk.

Output
Volume: 268 Å³ per cell
D(E_F): 0.6104 states/eV per atom
Space-group type: No. 223

Cell lengths 6.446, 6.446, 6.446 Å; angles 90.00, 90.00, 90.00 degrees
Fractional coordinates of all 12 atoms:
Ta: 0.000 0.250 0.500
Ta: 0.000 0.750 0.500
Ta: 0.250 0.500 0.000
Ta: 0.500 0.000 0.250
Ta: 0.500 0.000 0.750
Ta: 0.750 0.500 0.000
Be: 0.000 0.500 0.250
Be: 0.000 0.500 0.750
Be: 0.250 0.000 0.500
Be: 0.500 0.250 0.000
Be: 0.500 0.750 0.000
Be: 0.750 0.000 0.500


Least stable of them? version y.


Version w
First-principles (GGA-PBE) data for crystalline TaBe at its relaxed geometry, as listed in Alexandria via LeMat-Bulk.

Output
Volume: 228 Å³ per cell
D(E_F): 0.9929 states/eV per atom
Space-group type: No. 217

Cell lengths 6.662, 6.662, 6.662 Å; angles 109.47, 109.47, 109.47 degrees
Fractional coordinates of all 8 atoms:
Ta: 0.000 0.000 0.249
Ta: 0.000 0.249 0.000
Ta: 0.249 0.000 0.000
Ta: 0.751 0.751 0.751
Be: 0.000 0.000 0.630
Be: 0.000 0.630 0.000
Be: 0.370 0.370 0.370
Be: 0.630 0.000 0.000


Version x
First-principles (GGA-PBE) data for crystalline TaBe at its relaxed geometry, as listed in Alexandria via LeMat-Bulk.

Output
Volume: 163 Å³ per cell
D(E_F): 0.5122 states/eV per atom
Space-group type: No. 31

Cell lengths 13.100, 2.799, 4.436 Å; angles 90.00, 90.00, 90.00 degrees
Fractional coordinates of all 12 atoms:
Ta: 0.000 0.031 0.000
Ta: 0.173 0.948 0.634
Ta: 0.327 0.052 0.134
Ta: 0.500 0.969 0.500
Ta: 0.673 0.052 0.134
Ta: 0.827 0.948 0.634
Be: 0.000 0.504 0.488
Be: 0.155 0.486 0.147
Be: 0.345 0.514 0.647
Be: 0.500 0.496 0.988
Be: 0.655 0.514 0.647
Be: 0.845 0.486 0.147


Least stable of them? version w.


Version w
First-principles (GGA-PBE) data for crystalline TaBe at its relaxed geometry, as listed in Alexandria via LeMat-Bulk.

Output
Volume: 27 Å³ per cell
D(E_F): 0.8894 states/eV per atom
Space-group type: No. 123

Cell lengths 3.130, 3.130, 2.744 Å; angles 90.00, 90.00, 90.00 degrees
Fractional coordinates of all 2 atoms:
Ta: 0.000 0.000 0.000
Be: 0.500 0.500 0.500


Version x
First-principles (GGA-PBE) data for crystalline TaBe at its relaxed geometry, as listed in Alexandria via LeMat-Bulk.

Output
Volume: 68 Å³ per cell
D(E_F): 1.2125 states/eV per atom
Space-group type: No. 194

Cell lengths 4.089, 4.089, 4.723 Å; angles 90.00, 90.00, 120.00 degrees
Fractional coordinates of all 4 atoms:
Ta: 0.333 0.667 0.250
Ta: 0.667 0.333 0.750
Be: 0.333 0.667 0.750
Be: 0.667 0.333 0.250


Version y
First-principles (GGA-PBE) data for crystalline TaBe at its relaxed geometry, as listed in Alexandria via LeMat-Bulk.

Output
Volume: 58 Å³ per cell
D(E_F): 0.9053 states/eV per atom
Space-group type: No. 166

Cell lengths 4.249, 4.249, 4.249 Å; angles 63.09, 63.09, 63.09 degrees
Fractional coordinates of all 4 atoms:
Ta: 0.131 0.131 0.131
Ta: 0.869 0.869 0.869
Be: 0.389 0.389 0.389
Be: 0.611 0.611 0.611


Least stable of them? version x.


Version w
First-principles (GGA-PBE) data for crystalline Ta2Be at its relaxed geometry, as listed in Alexandria via LeMat-Bulk.

Output
Volume: 90 Å³ per cell
D(E_F): 0.6587 states/eV per atom
Space-group type: No. 140

Cell lengths 4.926, 4.926, 4.926 Å; angles 104.38, 104.38, 120.22 degrees
Fractional coordinates of all 6 atoms:
Ta: 0.161 0.661 0.821
Ta: 0.339 0.161 0.500
Ta: 0.661 0.839 0.500
Ta: 0.839 0.339 0.179
Be: 0.250 0.250 0.000
Be: 0.750 0.750 0.000


Version x
First-principles (GGA-PBE) data for crystalline Ta2Be at its relaxed geometry, as listed in Alexandria via LeMat-Bulk.

Output
Volume: 93 Å³ per cell
D(E_F): 0.3992 states/eV per atom
Space-group type: No. 12

Cell lengths 5.632, 5.632, 6.263 Å; angles 105.76, 105.76, 29.09 degrees
Fractional coordinates of all 6 atoms:
Ta: 0.132 0.132 0.037
Ta: 0.172 0.172 0.609
Ta: 0.828 0.828 0.391
Ta: 0.868 0.868 0.963
Be: 0.480 0.480 0.700
Be: 0.520 0.520 0.300


Version y
First-principles (GGA-PBE) data for crystalline Ta2Be at its relaxed geometry, as listed in Alexandria via LeMat-Bulk.

Output
Volume: 92 Å³ per cell
D(E_F): 0.4941 states/eV per atom
Space-group type: No. 63

Cell lengths 6.359, 6.359, 4.304 Å; angles 90.00, 90.00, 147.94 degrees
Fractional coordinates of all 6 atoms:
Ta: 0.073 0.927 0.750
Ta: 0.244 0.756 0.250
Ta: 0.756 0.244 0.750
Ta: 0.927 0.073 0.250
Be: 0.410 0.590 0.750
Be: 0.590 0.410 0.250


Version z
First-principles (GGA-PBE) data for crystalline Ta2Be at its relaxed geometry, as listed in Alexandria via LeMat-Bulk.

Output
Volume: 94 Å³ per cell
D(E_F): 0.5596 states/eV per atom
Space-group type: No. 63

Cell lengths 7.167, 7.167, 4.854 Å; angles 90.00, 90.00, 157.82 degrees
Fractional coordinates of all 6 atoms:
Ta: 0.050 0.950 0.750
Ta: 0.349 0.651 0.750
Ta: 0.651 0.349 0.250
Ta: 0.950 0.050 0.250
Be: 0.301 0.699 0.250
Be: 0.699 0.301 0.750


Least stable of them? version z.